[1]
This record from Alexandria describes a relaxed structure of TcW5. The functional is PBEsol.

Output
Space group   C2/m, No. 12
E_form   0.26 eV/f.u.

Structure (POSCAR):
```
TcW5
1.0
-0.842 -1.621 -2.551
-3.064 -1.524 3.918
-2.517 5.196 -2.473
W Tc
5 1
Direct
0.332 0.663 0.166
0.000 0.000 0.500
0.333 0.667 0.667
0.667 0.333 0.333
0.668 0.337 0.834
0.000 0.000 0.000
```

=====

[2]
This record from Alexandria describes a relaxed structure of ReGe2Se2. The functional is PBEsol.

Output
Space group   I4/mmm, No. 139
Formation energy (no corrections)   3.3 eV per formula unit

Structure (POSCAR):
```
ReGe2Se2
1.0
3.421 0.000 0.000
0.000 3.421 0.000
-1.711 -1.711 8.507
Re Se Ge
1 2 2
Direct
0.000 0.000 0.000
0.250 0.750 0.500
0.750 0.250 0.500
0.423 0.423 0.846
0.577 0.577 0.154
```

=====

[3]
This record from Alexandria describes a relaxed structure of La3U2O10. The functional is PBEsol.

Output
Space group   P-1, No. 2
Formation energy (no corrections)   -52.0 eV per formula unit

Structure (POSCAR):
```
La3U2O10
1.0
-3.164 4.477 3.971
-3.100 -6.883 1.479
7.415 -0.374 4.402
O La U
20 6 4
Direct
0.277 0.157 0.749
0.362 0.602 0.437
0.953 0.773 0.653
0.440 0.533 0.133
0.149 0.193 0.028
0.558 0.998 0.837
0.047 0.227 0.347
0.360 0.058 0.455
0.851 0.807 0.972
0.640 0.942 0.545
0.723 0.843 0.251
0.256 0.599 0.765
0.560 0.467 0.867
0.147 0.656 0.051
0.058 0.727 0.323
0.744 0.401 0.235
0.942 0.273 0.677
0.638 0.398 0.563
0.442 0.002 0.163
0.853 0.344 0.949
0.000 0.500 0.500
0.000 0.000 0.500
0.391 0.298 0.299
0.609 0.702 0.701
0.200 0.897 0.896
0.800 0.103 0.104
0.799 0.598 0.098
0.400 0.802 0.301
0.201 0.402 0.902
0.600 0.198 0.699
```

=====

[4]
This record from Alexandria describes a relaxed structure of HfTePS2. The functional is PBEsol.

Output
Space group   P4/mmm, No. 123
Formation energy (no corrections)   -0.6 eV per formula unit

Structure (POSCAR):
```
HfTePS2
1.0
4.757 0.000 0.000
0.000 4.757 0.000
0.000 0.000 5.223
S P Te Hf
2 1 1 1
Direct
0.000 0.500 0.000
0.500 0.000 0.000
0.000 0.000 0.500
0.500 0.500 0.500
0.000 0.000 0.000
```

=====

[5]
This record from Alexandria describes a relaxed structure of Fe2CoW. The functional is PBEsol.

Output
Space group   P2/m, No. 10
E_form   0.61 eV/f.u.

Structure (POSCAR):
```
Fe2CoW
1.0
-2.437 0.326 0.633
-0.463 -4.019 0.285
2.006 0.074 4.316
Fe W Co
2 1 1
Direct
0.755 0.000 0.742
0.245 0.000 0.258
0.500 0.500 0.000
0.000 0.500 0.500
```

=====

[6]
This record from Alexandria describes a relaxed structure of FeOsRh2. The functional is PBEsol.

Output
Space group   P4mm, No. 99
E_form   0.21 eV/f.u.

Structure (POSCAR):
```
FeOsRh2
1.0
-2.296 1.149 0.684
-0.686 0.154 -2.562
-3.174 -6.613 0.452
Fe Os Rh
1 1 2
Direct
0.000 0.000 0.501
0.500 0.500 0.739
0.500 0.500 0.263
0.000 0.000 0.997
```

=====

[7]
This record from Alexandria describes a relaxed structure of CdPtBr. The functional is PBEsol.

Output
Space group   P3m1, No. 156
Formation energy (no corrections)   0.6 eV per formula unit

Structure (POSCAR):
```
CdPtBr
1.0
3.167 0.000 0.000
0.000 4.579 0.000
0.000 -2.290 3.966
Cd Br Pt
1 1 1
Direct
0.647 0.667 0.333
0.126 0.000 0.000
0.227 0.333 0.667
```

=====

[8]
This record from Alexandria describes a relaxed structure of BaCuS2. The functional is PBEsol.

Output
Space group   I-42d, No. 122
Formation energy (no corrections)   -4.5 eV per formula unit

Structure (POSCAR):
```
BaCuS2
1.0
6.118 -0.046 0.000
-2.089 5.751 0.000
-2.015 -2.853 5.024
Ba Cu S
2 2 4
Direct
0.000 0.000 0.000
0.250 0.750 0.500
0.750 0.250 0.500
0.500 0.500 0.000
0.476 0.875 0.101
0.125 0.226 0.601
0.774 0.375 0.899
0.625 0.524 0.399
```